The following is a DFT calculation (PBE with a Hubbard U) of a geometry-optimized LiPmCr2O8 structure.

The structure belongs to space group I-4m2 (No. 119); the cell edges are 7.272, 7.272 and 6.303 Å and the angles 90.00°, 90.00° and 90.00°. The distinct sites, in fractional coordinates, are Li at (0.000, 0.000, 0.000), Pm at (0.000, 0.500, 0.250), Cr at (0.000, 0.000, 0.500), Cr at (0.000, 0.500, 0.750), O at (0.000, 0.183, 0.342) and O at (0.000, 0.320, 0.914).

The calculation puts the uncorrected energy at -6.96 eV/atom. The value obtained for the total magnetic moment is 0.0 μB/cell. As for the volume: 333.3 Å³/cell.